A plane-wave DFT calculation with PBE was carried out for crystalline CdMo3 at its relaxed geometry.

Calculated values
DFT formation energy = 0.338 eV/atom
crystal system = monoclinic
V = 67.4 Å³/f.u.
total magnetic moment = 0.00 μB per cell

Lattice parameters (Å, degrees): 2.718 4.534 5.604 90.00 102.62 90.00
Atoms (fractional coordinates):
Cd1 0.000 0.000 0.000
Mo1 0.259 0.500 0.731
Mo2 0.500 0.000 0.500
Mo3 0.741 0.500 0.269

---

A plane-wave DFT calculation with PBE was carried out for crystalline LaTaSb at its relaxed geometry.

Calculated values
crystal system = cubic
V = 98.5 Å³/f.u.
formation energy without anion corrections = 0.953 eV per atom
total magnetic moment = 3.51 μB per cell

Lattice parameters (Å, degrees): 5.184 5.184 5.184 60.00 60.00 60.00
Atoms (fractional coordinates):
La1 0.000 0.000 0.000
Ta1 0.250 0.250 0.250
Sb1 0.750 0.750 0.750

---

A plane-wave DFT calculation with PBE was carried out for crystalline SrTlCd at its relaxed geometry.

Calculated values
DFT formation energy = -0.351 eV/atom
crystal system = hexagonal
V = 92.2 Å³/f.u.
total magnetic moment = 0.00 μB per cell

Lattice parameters (Å, degrees): 5.198 5.198 3.942 90.00 90.00 120.00
Atoms (fractional coordinates):
Sr1 0.000 0.000 0.000
Tl1 0.667 0.333 0.500
Cd1 0.333 0.667 0.500

---

A plane-wave DFT calculation with PBE was carried out for crystalline YTmMnTc at its relaxed geometry.

Calculated values
DFT formation energy = 0.113 eV/atom
crystal system = cubic
V = 83.0 Å³/f.u.
total magnetic moment = 3.77 μB per cell

Lattice parameters (Å, degrees): 4.897 4.897 4.897 60.00 60.00 60.00
Atoms (fractional coordinates):
Y1 0.000 0.000 0.000
Tm1 0.500 0.500 0.500
Mn1 0.250 0.250 0.250
Tc1 0.750 0.750 0.750

---

A plane-wave DFT calculation with PBE was carried out for crystalline CsNaSnP2 at its relaxed geometry.

Calculated values
DFT formation energy = -0.273 eV/atom
crystal system = monoclinic
V = 163.0 Å³/f.u.
total magnetic moment = 0.00 μB per cell

Lattice parameters (Å, degrees): 7.796 7.796 10.241 98.12 98.12 31.98
Atoms (fractional coordinates):
Cs1 0.140 0.140 0.158
Cs2 0.860 0.860 0.842
Na1 0.196 0.196 0.576
Na2 0.804 0.804 0.424
Sn1 0.448 0.448 0.338
Sn2 0.552 0.552 0.662
P1 0.107 0.107 0.802
P2 0.386 0.386 0.564
P3 0.614 0.614 0.436
P4 0.893 0.893 0.198

---

A plane-wave DFT calculation with PBE was carried out for crystalline SiAs2Ru at its relaxed geometry.

Calculated values
crystal system = orthorhombic
V = 69.1 Å³/f.u.
formation energy without anion corrections = 0.038 eV per atom
total magnetic moment = 0.00 μB per cell

Lattice parameters (Å, degrees): 6.405 6.405 6.405 153.49 143.81 45.42
Atoms (fractional coordinates):
Si1 0.000 0.000 0.000
As1 0.316 0.816 0.500
As2 0.684 0.184 0.500
Ru1 0.500 0.500 0.000

---

A plane-wave DFT calculation with PBE was carried out for crystalline BeNiCl at its relaxed geometry.

Calculated values
crystal system = orthorhombic
V = 43.1 Å³/f.u.
formation energy without anion corrections = -0.290 eV per atom
total magnetic moment = 0.24 μB per cell

Lattice parameters (Å, degrees): 5.717 5.717 5.717 148.41 116.53 72.64
Atoms (fractional coordinates):
Be1 0.118 0.118 0.000
Be2 0.882 0.882 0.000
Ni1 0.198 0.500 0.698
Ni2 0.802 0.500 0.302
Cl1 0.336 0.336 0.000
Cl2 0.664 0.664 0.000

---

A plane-wave DFT calculation with PBE was carried out for crystalline NbMoSe at its relaxed geometry.

Calculated values
crystal system = monoclinic
V = 50.9 Å³/f.u.
formation energy without anion corrections = 0.075 eV per atom
total magnetic moment = 0.00 μB per cell

Lattice parameters (Å, degrees): 3.090 5.151 6.567 90.00 103.26 90.00
Atoms (fractional coordinates):
Nb1 0.177 0.250 0.364
Nb2 0.823 0.750 0.636
Mo1 0.500 0.000 0.000
Mo2 0.500 0.500 0.000
Se1 0.135 0.750 0.274
Se2 0.865 0.250 0.726

---

A plane-wave DFT calculation with PBE was carried out for crystalline TiGa3Ge at its relaxed geometry.

Calculated values
DFT formation energy = 0.760 eV/atom
crystal system = cubic
V = 113.6 Å³/f.u.
total magnetic moment = 0.00 μB per cell

Lattice parameters (Å, degrees): 4.844 4.844 4.844 90.00 90.00 90.00
Atoms (fractional coordinates):
Ti1 0.000 0.000 0.000
Ga1 0.000 0.500 0.500
Ga2 0.500 0.000 0.500
Ga3 0.500 0.500 0.000
Ge1 0.500 0.500 0.500

---

A plane-wave DFT calculation with PBE was carried out for crystalline Mg7Tl2Hg at its relaxed geometry.

Calculated values
DFT formation energy = 0.263 eV/atom
crystal system = cubic
V = 302.6 Å³/f.u.
total magnetic moment = 0.00 μB per cell

Lattice parameters (Å, degrees): 7.536 7.536 7.536 60.00 60.00 60.00
Atoms (fractional coordinates):
Mg1 0.000 0.000 0.000
Mg2 0.254 0.254 0.746
Mg3 0.254 0.746 0.254
Mg4 0.254 0.746 0.746
Mg5 0.746 0.254 0.254
Mg6 0.746 0.254 0.746
Mg7 0.746 0.746 0.254
Tl1 0.250 0.250 0.250
Tl2 0.750 0.750 0.750
Hg1 0.500 0.500 0.500

---

A plane-wave DFT calculation with PBE was carried out for crystalline Tb4Sm5Er2 at its relaxed geometry.

Calculated values
DFT formation energy = 0.172 eV/atom
crystal system = monoclinic
V = 368.7 Å³/f.u.
total magnetic moment = 0.00 μB per cell

Lattice parameters (Å, degrees): 6.908 6.908 9.650 110.09 110.09 60.82
Atoms (fractional coordinates):
Tb1 0.142 0.142 0.151
Tb2 0.152 0.152 0.501
Tb3 0.848 0.848 0.499
Tb4 0.858 0.858 0.849
Sm1 0.128 0.657 0.178
Sm2 0.343 0.872 0.822
Sm3 0.500 0.500 0.500
Sm4 0.657 0.128 0.178
Sm5 0.872 0.343 0.822
Er1 0.372 0.372 0.848
Er2 0.628 0.628 0.152

---

A plane-wave DFT calculation with PBE was carried out for crystalline SmEr2Sc3As6 at its relaxed geometry.

Calculated values
DFT formation energy = -1.433 eV/atom
crystal system = monoclinic
V = 272.7 Å³/f.u.
total magnetic moment = 0.00 μB per cell

Lattice parameters (Å, degrees): 6.947 6.947 6.923 99.62 99.62 120.00
Atoms (fractional coordinates):
Sm1 0.000 0.000 0.000
Er1 0.333 0.667 0.000
Er2 0.667 0.333 0.000
Sc1 0.165 0.835 0.500
Sc2 0.500 0.500 0.500
Sc3 0.835 0.165 0.500
As1 0.089 0.427 0.266
As2 0.250 0.250 0.735
As3 0.427 0.089 0.266
As4 0.573 0.911 0.734
As5 0.750 0.750 0.265
As6 0.911 0.573 0.734

---

Q: Which value of V does entry 8 give?
A: 50.9 Å³/f.u.